VASP calculation (PBE-GGA) on a geometry-optimized CrSi2Ag structure.

```
data_CrSi2Ag
_chemical_formula_sum 'Cr1 Si2 Ag1'
_space_group_name_H-M_alt 'P 1 2/m 1'
_space_group_IT_number 10
_space_group_name_Hall '-P 2y'
_cell_length_a 4.4106
_cell_length_b 2.9117
_cell_length_c 5.0106
_cell_angle_alpha 90.00
_cell_angle_beta 113.67
_cell_angle_gamma 90.00
loop_
_atom_site_label
_atom_site_fract_x
_atom_site_fract_y
_atom_site_fract_z
Cr1 0.0000 0.0000 0.0000
Si1 0.5000 0.0000 0.5000
Si2 0.5000 0.5000 0.0000
Ag1 0.0000 0.5000 0.5000
```

Summary:
* ΔE_f (raw): 261 meV/atom
* density: 6.1 g cm⁻³
* D(E_F): 2.05 states/eV/f.u.
* raw total energy: -5.57 eV/atom
* volume: 14.73 Å³/atom